[1]
Computed, not measured: CrRe2P after structural relaxation at the PBE level of DFT.

Summary:
Crystal system: orthorhombic

a b c (Å): 2.9645 4.0467 4.5089
angles (deg): 90.00 90.00 90.00
Closest atoms and distances in Å follow each position.
Sites, in units of the cell vectors:
Cr: 0.0000 0.0000 0.0000  4 Re 2.51, 4 P 2.70
Re: 0.0000 0.5000 0.5000  4 P 2.51, 4 Re 2.70
Re: 0.5000 0.5000 0.0000  4 Cr 2.51, 4 Re 2.70
P: 0.5000 0.0000 0.5000  4 Re 2.51, 4 Cr 2.70

***

[2]
Computed, not measured: CrRe2P after structural relaxation at the PBE level of DFT.

Summary:
Crystal system: trigonal

a b c (Å): 2.7852 2.7852 24.2038
angles (deg): 90.00 90.00 120.00
Closest atoms and distances in Å follow each position.
Sites, in units of the cell vectors:
Cr: 0.0000 0.0000 0.0000  3 P 2.39, 3 Re 2.63
Cr: 0.3333 0.6667 0.6667  3 P 2.39, 3 Re 2.63
Cr: 0.6667 0.3333 0.3333  3 P 2.39, 3 Re 2.63
Re: 0.0000 0.0000 0.2471  3 Cr 2.63, 9 Re 2.75-2.79
Re: 0.0000 0.0000 0.4883  3 P 2.55, 9 Re 2.75-2.79
Re: 0.3333 0.6667 0.1549  3 P 2.55, 9 Re 2.75-2.79
Re: 0.3333 0.6667 0.9138  3 Cr 2.63, 9 Re 2.75-2.79
Re: 0.6667 0.3333 0.5804  3 Cr 2.63, 9 Re 2.75-2.79
Re: 0.6667 0.3333 0.8216  3 P 2.55, 9 Re 2.75-2.79
P: 0.0000 0.0000 0.7397  3 Cr 2.39, 3 Re 2.55
P: 0.3333 0.6667 0.4064  3 Cr 2.39, 3 Re 2.55
P: 0.6667 0.3333 0.0731  3 Cr 2.39, 3 Re 2.55

***

[3]
Computed, not measured: CrRe2P after structural relaxation at the PBE level of DFT.

Summary:
Crystal system: trigonal

a b c (Å): 2.8091 2.8091 23.9403
angles (deg): 90.00 90.00 120.00
Closest atoms and distances in Å follow each position.
Sites, in units of the cell vectors:
Cr: 0.0000 0.0000 0.0000  6 Re 2.62, 6 Cr 2.81
Cr: 0.3333 0.6667 0.6667  6 Re 2.62, 6 Cr 2.81
Cr: 0.6667 0.3333 0.3333  6 Re 2.62, 6 Cr 2.81
Re: 0.0000 0.0000 0.2475  3 P 2.53, 3 Cr 2.62, 6 Re 2.81
Re: 0.0000 0.0000 0.7525  3 P 2.53, 3 Cr 2.62, 6 Re 2.81
Re: 0.3333 0.6667 0.4191  3 P 2.53, 3 Cr 2.62, 6 Re 2.81
Re: 0.3333 0.6667 0.9142  3 P 2.53, 3 Cr 2.62, 6 Re 2.81
Re: 0.6667 0.3333 0.0858  3 P 2.53, 3 Cr 2.62, 6 Re 2.81
Re: 0.6667 0.3333 0.5809  3 P 2.53, 3 Cr 2.62, 6 Re 2.81
P: 0.0000 0.0000 0.5000  6 Re 2.53, 6 P 2.81
P: 0.3333 0.6667 0.1667  6 Re 2.53, 6 P 2.81
P: 0.6667 0.3333 0.8333  6 Re 2.53, 6 P 2.81

***

[4]
Computed, not measured: CrRe2P after structural relaxation at the PBE level of DFT.

Summary:
Crystal system: monoclinic

a b c (Å): 8.4568 2.8387 4.6354
angles (deg): 90.00 96.44 90.00
Closest atoms and distances in Å follow each position.
Sites, in units of the cell vectors:
Cr: 0.0000 0.0000 0.0000  6 Re 2.59-2.63, 4 P 2.72, 2 Cr 2.84
Cr: 0.5000 0.5000 0.0000  6 Re 2.59-2.63, 4 P 2.72, 2 Cr 2.84
Re: 0.2398 0.5000 0.2481  1 P 2.45, 3 Cr 2.59-2.63, 4 Re 2.72
Re: 0.2602 0.0000 0.7519  1 P 2.45, 3 Cr 2.59-2.63, 4 Re 2.72
Re: 0.7398 0.0000 0.2481  1 P 2.45, 3 Cr 2.59-2.63, 4 Re 2.72
Re: 0.7602 0.5000 0.7519  1 P 2.45, 3 Cr 2.59-2.63, 4 Re 2.72
P: 0.0000 0.5000 0.5000  2 Re 2.45, 4 Cr 2.72
P: 0.5000 0.0000 0.5000  2 Re 2.45, 4 Cr 2.72

***

[5]
Computed, not measured: Cr2RePRh after structural relaxation at the PBE level of DFT.

Summary:
Crystal system: tetragonal

a b c (Å): 4.6938 4.6938 4.6585
angles (deg): 90.00 90.00 90.00
Closest atoms and distances in Å follow each position.
Sites, in units of the cell vectors:
Cr: 0.0000 0.5000 0.0000  2 Rh 2.35
Cr: 0.5000 0.0000 0.0000  2 Rh 2.35
Re: 0.0000 0.0000 0.5000  2 Rh 2.33
P: 0.5000 0.5000 0.5000  8 Cr 3.31, 4 Re 3.32
Rh: 0.0000 0.0000 0.0000  2 Re 2.33, 4 Cr 2.35

***

[6]
Computed, not measured: ZnCrRe2P after structural relaxation at the PBE level of DFT.

Summary:
Crystal system: tetragonal

a b c (Å): 4.4425 4.4425 4.5074
angles (deg): 90.00 90.00 90.00
Closest atoms and distances in Å follow each position.
Sites, in units of the cell vectors:
Zn: 0.0000 0.0000 0.0000  2 Cr 2.25
Cr: 0.0000 0.0000 0.5000  4 Re 2.22, 2 Zn 2.25
Re: 0.0000 0.5000 0.5000  2 Cr 2.22
Re: 0.5000 0.0000 0.5000  2 Cr 2.22
P: 0.5000 0.5000 0.0000  4 Zn 3.14, 8 Re 3.16

***

[7]
Computed, not measured: ZrCr2ReP after structural relaxation at the PBE level of DFT.

Summary:
Crystal system: tetragonal

a b c (Å): 4.1532 4.1532 4.7792
angles (deg): 90.00 90.00 90.00
Closest atoms and distances in Å follow each position.
Sites, in units of the cell vectors:
Zr: 0.0000 0.0000 0.0000  2 P 2.39
Cr: 0.0000 0.5000 0.5000  2 P 2.08
Cr: 0.5000 0.0000 0.5000  2 P 2.08
Re: 0.5000 0.5000 0.0000  4 Zr 2.94, 8 Cr 3.17
P: 0.0000 0.0000 0.5000  4 Cr 2.08

***

[8]
Computed, not measured: CrPRh3 after structural relaxation at the PBE level of DFT.

Summary:
Polymorph energy (0 for the lowest one) (meV per atom): 0.0
Crystal system: cubic

a b c (Å): 4.3339 4.3339 4.3339
angles (deg): 90.00 90.00 90.00
Closest atoms and distances in Å follow each position.
Sites, in units of the cell vectors:
Cr: 0.0000 0.0000 0.0000  12 Rh 3.06
P: 0.5000 0.5000 0.5000  6 Rh 2.17
Rh: 0.0000 0.5000 0.5000  2 P 2.17
Rh: 0.5000 0.0000 0.5000  2 P 2.17
Rh: 0.5000 0.5000 0.0000  2 P 2.17

***

Number 1: density of states at the Fermi level 2.656 states/eV per cell, volume 54 Å³ per cell, ΔH_f (0 K) 0.193 eV per atom. Number 2: density of states at the Fermi level 15.508 states/eV per cell, volume 163 Å³ per cell, ΔH_f (0 K) 0.075 eV per atom. Number 3: density of states at the Fermi level 10.246 states/eV per cell, volume 164 Å³ per cell, ΔH_f (0 K) 0.141 eV per atom. Number 4: density of states at the Fermi level 7.472 states/eV per cell, volume 111 Å³ per cell, ΔH_f (0 K) 0.170 eV per atom. Number 5: density of states at the Fermi level 7.050 states/eV per cell, volume 103 Å³ per cell, ΔH_f (0 K) 1.633 eV per atom. Number 6: density of states at the Fermi level 5.408 states/eV per cell, volume 89 Å³ per cell, ΔH_f (0 K) 1.628 eV per atom. Number 7: density of states at the Fermi level 9.994 states/eV per cell, volume 82 Å³ per cell, ΔH_f (0 K) 0.596 eV per atom. Number 8: density of states at the Fermi level 14.550 states/eV per cell, volume 81 Å³ per cell, ΔH_f (0 K) 0.494 eV per atom.